The following is a PBE-GGA calculation of a geometry-optimized Gd2YNi2B2N3 structure, from OQMD via LeMat-Bulk.

Cell: 3.4971 3.4971 20.1093 Å, 90.00 90.00 90.00°
Closest atoms and distances in Å follow each position.
Space group I4/mmm (No. 139)
One atom of each set of equivalent atoms:
1 Gd 0.0000 0.0000 0.1233 x4  5 N 2.48
2 Y 0.0000 0.0000 0.5000 x2  6 N 2.35-2.47
3 Ni 0.0000 0.5000 0.2500 x4  4 B 2.13
4 B 0.0000 0.0000 0.3106 x4  1 N 1.45
5 N 0.0000 0.0000 0.0000 x2  4 Y 2.47, 2 Gd 2.48
6 N 0.0000 0.0000 0.3829 x4  1 B 1.45

Calculated values
Energy = -0.5675 Ry/atom

The following is a PBE-GGA calculation of a geometry-optimized Sm2GdB2Pd2N3 structure, from OQMD via LeMat-Bulk.

Cell: 3.6995 3.6995 20.4410 Å, 90.00 90.00 90.00°
Closest atoms and distances in Å follow each position.
Space group I4/mmm (No. 139)
One atom of each set of equivalent atoms:
1 Sm 0.0000 0.0000 0.1197 x4  5 N 2.45-2.62
2 Gd 0.0000 0.0000 0.5000 x2  6 N 2.36-2.62
3 B 0.0000 0.0000 0.3145 x4  1 N 1.43
4 Pd 0.0000 0.5000 0.2500 x4  4 B 2.27
5 N 0.0000 0.0000 0.0000 x2  2 Sm 2.45, 4 Gd 2.62
6 N 0.0000 0.0000 0.3843 x4  1 B 1.43

Calculated values
Energy = -0.5446 Ry/atom

The following is a PBE-GGA calculation of a geometry-optimized TbGd2B2Pd2N3 structure, from OQMD via LeMat-Bulk.

Cell: 3.6617 3.6617 20.3685 Å, 90.00 90.00 90.00°
Closest atoms and distances in Å follow each position.
Space group I4/mmm (No. 139)
One atom of each set of equivalent atoms:
1 Tb 0.0000 0.0000 0.0000 x2  6 N 2.34-2.59
2 Gd 0.0000 0.0000 0.3809 x4  5 N 2.43-2.59
3 B 0.0000 0.0000 0.1849 x4  1 N 1.43
4 Pd 0.0000 0.5000 0.2500 x4  4 B 2.26
5 N 0.0000 0.0000 0.1147 x4  1 B 1.43
6 N 0.0000 0.0000 0.5000 x2  2 Gd 2.43, 4 Tb 2.59

Calculated values
Energy = -0.5455 Ry/atom

The following is a PBE-GGA calculation of a geometry-optimized Tb2GdB2Pd2N3 structure, from OQMD via LeMat-Bulk.

Cell: 3.6558 3.6558 20.3797 Å, 90.00 90.00 90.00°
Closest atoms and distances in Å follow each position.
Space group I4/mmm (No. 139)
One atom of each set of equivalent atoms:
1 Tb 0.0000 0.0000 0.1189 x4  5 N 2.42-2.59
2 Gd 0.0000 0.0000 0.5000 x2  6 N 2.34-2.59
3 B 0.0000 0.0000 0.3149 x4  1 N 1.43
4 Pd 0.0000 0.5000 0.2500 x4  4 B 2.26
5 N 0.0000 0.0000 0.0000 x2  2 Tb 2.42, 4 Gd 2.59
6 N 0.0000 0.0000 0.3850 x4  1 B 1.43

Calculated values
Energy = -0.5451 Ry/atom

The following is a PBE-GGA calculation of a geometry-optimized GdYB2Pd2N2 structure, from OQMD via LeMat-Bulk.

Cell: 3.7119 3.7119 7.6516 Å, 90.00 90.00 90.00°
Closest atoms and distances in Å follow each position.
Space group P4mm (No. 99)
One atom of each set of equivalent atoms:
1 Gd 0.0000 0.0000 0.0000 x1  1 N 2.32
2 Y 0.5000 0.5000 0.6752 x1  1 N 2.30
3 B 0.0000 0.0000 0.5098 x1  1 N 1.43
4 B 0.5000 0.5000 0.1636 x1  1 N 1.43
5 Pd 0.0000 0.5000 0.3376 x2  4 B 2.28
6 N 0.0000 0.0000 0.6964 x1  1 B 1.43
7 N 0.5000 0.5000 0.9764 x1  1 B 1.43

Calculated values
Energy = -0.5499 Ry/atom

The following is a PBE-GGA calculation of a geometry-optimized TbGdB2Pt2N2 structure, from OQMD via LeMat-Bulk.

Cell: 3.7491 3.7491 7.6118 Å, 90.00 90.00 90.00°
Closest atoms and distances in Å follow each position.
Space group P4mm (No. 99)
One atom of each set of equivalent atoms:
1 Tb 0.0000 0.0000 0.0000 x1  1 N 2.30
2 Gd 0.5000 0.5000 0.3258 x1  1 N 2.31
3 B 0.0000 0.0000 0.4919 x1  1 N 1.44
4 B 0.5000 0.5000 0.8330 x1  1 N 1.44
5 Pt 0.0000 0.5000 0.6631 x2  4 B 2.28
6 N 0.0000 0.0000 0.3026 x1  1 B 1.44
7 N 0.5000 0.5000 0.0223 x1  1 B 1.44

Calculated values
Energy = -0.5567 Ry/atom

The following is a PBE-GGA calculation of a geometry-optimized GdYB2Pt2N2 structure, from OQMD via LeMat-Bulk.

Cell: 3.7483 3.7483 7.6029 Å, 90.00 90.00 90.00°
Closest atoms and distances in Å follow each position.
Space group P4mm (No. 99)
One atom of each set of equivalent atoms:
1 Gd 0.0000 0.0000 0.0000 x1  1 N 2.31
2 Y 0.5000 0.5000 0.6746 x1  1 N 2.29
3 B 0.0000 0.0000 0.5072 x1  1 N 1.44
4 B 0.5000 0.5000 0.1658 x1  1 N 1.44
5 Pt 0.0000 0.5000 0.3374 x2  4 B 2.28
6 N 0.0000 0.0000 0.6966 x1  1 B 1.44
7 N 0.5000 0.5000 0.9763 x1  1 B 1.44

Calculated values
Energy = -0.5733 Ry/atom

The following is a PBE-GGA calculation of a geometry-optimized GdYB3N2 structure, from OQMD via LeMat-Bulk.

Cell: 3.7213 3.3098 13.1293 Å, 90.00 90.00 90.00°
Closest atoms and distances in Å follow each position.
Space group Amm2 (No. 38)
One atom of each set of equivalent atoms:
1 Gd 0.0000 0.0000 0.0000 x2  4 N 2.52, 6 B 2.67-2.73
2 Y 0.0000 0.0000 0.7286 x2  4 N 2.52, 6 B 2.65-2.72
3 B 0.5000 0.0000 0.1453 x2  1 N 1.50
4 B 0.5000 0.0000 0.3649 x2  2 N 1.38
5 B 0.5000 0.0000 0.5846 x2  1 N 1.50
6 N 0.5000 0.0000 0.2597 x2  2 B 1.38-1.50
7 N 0.5000 0.0000 0.4700 x2  2 B 1.38-1.50

Calculated values
Energy = -0.5633 Ry/atom

The following is a PBE-GGA calculation of a geometry-optimized NaGdB structure, from OQMD via LeMat-Bulk.

Cell: 6.2941 6.2941 6.2941 Å, 90.00 90.00 90.00°
Closest atoms and distances in Å follow each position.
Space group F-43m (No. 216)
One atom of each set of equivalent atoms:
1 Na 0.0000 0.0000 0.0000 x4  4 B 2.73
2 Gd 0.0000 0.0000 0.5000 x4  4 B 2.73
3 B 0.2500 0.2500 0.7500 x4  4 Gd 2.73, 4 Na 2.73

Calculated values
Excess energy over the best structure of this formula in the dataset = 0.0000 eV per atom
Energy = -0.2742 Ry/atom

The following is a PBE-GGA calculation of a geometry-optimized Na3GdB8O15 structure, from OQMD via LeMat-Bulk.

Cell: 6.2110 7.4564 13.4488 Å, 90.56 100.68 113.73°
Closest atoms and distances in Å follow each position.
Space group P-1 (No. 2)
One atom of each set of equivalent atoms:
1 Na 0.0952 0.3176 0.1083 x2  4 O 2.27-2.54
2 Na 0.2545 0.7413 0.4751 x2  5 O 2.27-2.54
3 Na 0.3637 0.6183 0.7746 x2  5 O 2.31-2.51
4 Gd 0.0828 0.7548 0.1694 x2  6 O 2.22-2.44
5 B 0.1035 0.1564 0.6572 x2  4 O 1.45-1.50
6 B 0.1656 0.3940 0.3181 x2  3 O 1.34-1.41
7 B 0.2096 0.2909 0.4891 x2  3 O 1.35-1.40
8 B 0.2671 0.0571 0.9863 x2  3 O 1.32-1.41
9 B 0.3212 0.1336 0.3577 x2  4 O 1.48-1.49
10 B 0.3651 0.9786 0.6847 x2  3 O 1.35-1.38
11 B 0.3789 0.6343 0.9987 x2  3 O 1.33-1.41
12 B 0.3862 0.2023 0.8269 x2  4 O 1.45-1.50
13 O 0.0714 0.4880 0.2512 x2  1 B 1.34
14 O 0.1293 0.2884 0.5763 x2  2 B 1.35-1.46
15 O 0.1519 0.9248 0.3287 x2  2 B 1.48-1.50
16 O 0.1557 0.8929 0.0271 x2  1 B 1.32
17 O 0.1650 0.9942 0.6348 x2  2 B 1.35-1.45
18 O 0.1659 0.4206 0.4219 x2  2 B 1.40-1.41
19 O 0.1921 0.4913 0.9395 x2  1 B 1.33
20 O 0.2090 0.0700 0.8821 x2  2 B 1.39-1.48
21 O 0.2559 0.2828 0.7526 x2  2 B 1.45-1.50
22 O 0.2609 0.2674 0.2878 x2  2 B 1.39-1.49
23 O 0.3331 0.1863 0.4652 x2  2 B 1.37-1.48
24 O 0.4070 0.6438 0.1046 x2  2 B 1.40-1.47
25 O 0.4327 0.8429 0.6468 x2  2 B 1.37-1.48
26 O 0.4483 0.2237 0.0467 x2  2 B 1.41
27 O 0.4947 0.0903 0.7756 x2  2 B 1.38-1.50

Calculated values
Energy = -0.5557 Ry/atom

The following is a PBE-GGA calculation of a geometry-optimized Na3GdB2O6 structure, from OQMD via LeMat-Bulk.

Cell: 6.4566 8.5819 11.9333 Å, 90.00 122.76 90.00°
Closest atoms and distances in Å follow each position.
Space group P2_1/c (No. 14)
One atom of each set of equivalent atoms:
1 Na 0.1270 0.1824 0.1008 x4  6 O 2.32-2.52
2 Na 0.3066 0.5561 0.1128 x4  3 O 2.32-2.36
3 Na 0.3583 0.7336 0.8473 x4  3 O 2.19-2.45
4 Gd 0.2002 0.1173 0.8535 x4  8 O 2.29-2.48
5 B 0.1187 0.0659 0.3728 x4  3 O 1.38-1.39
6 B 0.3544 0.6046 0.6371 x4  3 O 1.36-1.40
7 O 0.0063 0.6332 0.2535 x4  1 B 1.39
8 O 0.0527 0.5837 0.8836 x4  1 B 1.38
9 O 0.1340 0.6099 0.6271 x4  1 B 1.36
10 O 0.2915 0.1527 0.4802 x4  1 B 1.38
11 O 0.4173 0.0164 0.0821 x4  1 B 1.40
12 O 0.4677 0.2176 0.7928 x4  1 B 1.39

Calculated values
Energy = -0.4985 Ry/atom

The following is a PBE-GGA calculation of a geometry-optimized GdNbB4 structure, from OQMD via LeMat-Bulk.

Cell: 3.1596 3.1596 7.3581 Å, 90.00 90.00 120.00°
Closest atoms and distances in Å follow each position.
Space group P6/mmm (No. 191)
One atom of each set of equivalent atoms:
1 Gd 0.0000 0.0000 0.0000 x1  12 B 2.72
2 Nb 0.0000 0.0000 0.5000 x1  12 B 2.47
3 B 0.3333 0.6667 0.2737 x4  3 B 1.82

Calculated values
Energy = -0.5601 Ry/atom

The following is a PBE-GGA calculation of a geometry-optimized GdNbB structure, from OQMD via LeMat-Bulk.

Cell: 6.0087 6.0087 6.0087 Å, 90.00 90.00 90.00°
Closest atoms and distances in Å follow each position.
Space group F-43m (No. 216)
One atom of each set of equivalent atoms:
1 Gd 0.0000 0.0000 0.0000 x4  4 B 2.60
2 Nb 0.0000 0.0000 0.5000 x4  4 B 2.60
3 B 0.2500 0.2500 0.2500 x4  4 Gd 2.60, 4 Nb 2.60

Calculated values
Excess energy over the best structure of this formula in the dataset = 0.0000 eV per atom
Energy = -0.5038 Ry/atom

The following is a PBE-GGA calculation of a geometry-optimized NdGdB structure, from OQMD via LeMat-Bulk.

Cell: 6.5406 6.5406 6.5406 Å, 90.00 90.00 90.00°
Closest atoms and distances in Å follow each position.
Space group F-43m (No. 216)
One atom of each set of equivalent atoms:
1 Nd 0.0000 0.0000 0.0000 x4  4 B 2.83
2 Gd 0.0000 0.0000 0.5000 x4  4 B 2.83
3 B 0.2500 0.2500 0.7500 x4  4 Gd 2.83, 4 Nd 2.83

Calculated values
Energy = -0.3827 Ry/atom

The following is a PBE-GGA calculation of a geometry-optimized Nd4Gd4B3 structure, from OQMD via LeMat-Bulk.

Cell: 3.8265 5.3588 14.4691 Å, 85.02 83.87 82.39°
Closest atoms and distances in Å follow each position.
Space group P-1 (No. 2)
One atom of each set of equivalent atoms:
1 Nd 0.1038 0.2335 0.3293 x2  1 B 2.69
2 Nd 0.3366 0.1932 0.8293 x2  1 B 2.69
3 Gd 0.2678 0.3251 0.0722 x2  3 B 2.60-2.70
4 Gd 0.4226 0.2539 0.5719 x2  2 B 2.60
5 B 0.0000 0.0000 0.5000 x1  4 Gd 2.60, 2 Nd 2.69
6 B 0.1371 0.8852 0.0229 x2  1 B 1.65

Calculated values
Energy = -0.3795 Ry/atom

The following is a PBE-GGA calculation of a geometry-optimized Nd2GdNi2B2P3 structure, from OQMD via LeMat-Bulk.

Cell: 4.0216 4.0216 21.5672 Å, 90.00 90.00 90.00°
Closest atoms and distances in Å follow each position.
Space group I4/mmm (No. 139)
One atom of each set of equivalent atoms:
1 Nd 0.0000 0.0000 0.1390 x4  5 P 2.85-3.00, 1 B 3.06, 4 Ni 3.13
2 Gd 0.0000 0.0000 0.5000 x2  6 P 2.78-2.84
3 Ni 0.0000 0.5000 0.2500 x4  4 B 2.12
4 B 0.0000 0.0000 0.2809 x4  1 P 1.94, 4 Ni 2.12
5 P 0.0000 0.0000 0.0000 x2  4 Gd 2.84, 2 Nd 3.00
6 P 0.0000 0.0000 0.3709 x4  1 B 1.94

Calculated values
Energy = -0.4685 Ry/atom

The following is a PBE-GGA calculation of a geometry-optimized GdNi2B2 structure, from OQMD via LeMat-Bulk.

Cell: 4.5534 6.1704 8.8472 Å, 90.00 90.00 90.00°
Closest atoms and distances in Å follow each position.
Space group Fmmm (No. 69)
One atom of each set of equivalent atoms:
1 Gd 0.0000 0.0000 0.0000 x4  6 Ni 2.73-2.92, 8 B 2.93
2 Ni 0.0000 0.0000 0.3302 x8  4 B 2.04
3 B 0.2500 0.2500 0.2500 x8  4 Ni 2.04, 2 B 2.28

Calculated values
Energy = -0.4537 Ry/atom

The following is a PBE-GGA calculation of a geometry-optimized Gd4NiB13 structure, from OQMD via LeMat-Bulk.

Cell: 7.3647 7.3647 6.9857 Å, 90.00 90.00 90.00°
Closest atoms and distances in Å follow each position.
Space group P4/mnc (No. 128)
One atom of each set of equivalent atoms:
1 Gd 0.1798 0.3159 0.0000 x8  13 B 2.58-2.76, 1 Ni 2.72
2 Ni 0.0000 0.0000 0.5000 x2  8 B 2.21
3 B 0.0000 0.0000 0.0000 x2  8 B 2.13
4 B 0.0402 0.8307 0.2431 x16  3 B 1.79-1.81
5 B 0.0934 0.5934 0.2500 x8  3 B 1.79-1.94

Calculated values
Energy = -0.4852 Ry/atom

The following is a PBE-GGA calculation of a geometry-optimized GdNi2B structure, from OQMD via LeMat-Bulk.

Cell: 3.0012 3.0091 12.3469 Å, 90.00 90.00 90.00°
Closest atoms and distances in Å follow each position.
Space group Amm2 (No. 38)
One atom of each set of equivalent atoms:
1 Gd 0.0000 0.0000 0.0000 x2  6 Ni 2.81-3.07, 2 B 2.84, 4 Gd 3.00-3.01
2 Ni 0.0000 0.0000 0.7166 x2  4 B 2.14
3 Ni 0.5000 0.0000 0.3513 x2  1 B 1.93
4 B 0.5000 0.0000 0.1953 x2  5 Ni 1.93-2.14

Calculated values
Energy = -0.4104 Ry/atom